*A*
VASP calculation (PBE) on a relaxed structure of As3HPt.

The structure in CIF format:
```
data_As3HPt
_space_group_name_H-M_alt 'P 1'
_space_group_IT_number 1
_space_group_name_Hall 'P 1'
_cell_length_a 4.957
_cell_length_b 4.957
_cell_length_c 4.957
_cell_angle_alpha 90.00
_cell_angle_beta 90.00
_cell_angle_gamma 90.00
loop_
_atom_site_label
_atom_site_fract_x
_atom_site_fract_y
_atom_site_fract_z
_atom_site_occupancy
As1 0.000 0.500 0.000 1
As2 0.000 0.000 0.500 1
As3 0.500 0.000 0.000 1
Pt1 0.000 0.000 0.000 1
H1 0.500 0.500 0.500 1
```

*B*
VASP calculation (PBE) on a relaxed structure of As3HPt.

The structure in CIF format:
```
data_As3HPt
_space_group_name_H-M_alt 'P 1'
_space_group_IT_number 1
_space_group_name_Hall 'P 1'
_cell_length_a 4.218
_cell_length_b 4.218
_cell_length_c 4.218
_cell_angle_alpha 90.00
_cell_angle_beta 90.00
_cell_angle_gamma 90.00
loop_
_atom_site_label
_atom_site_fract_x
_atom_site_fract_y
_atom_site_fract_z
_atom_site_occupancy
As1 0.000 0.500 0.000 1
As2 0.000 0.000 0.500 1
As3 0.500 0.000 0.000 1
Pt1 0.500 0.500 0.500 1
H1 0.000 0.000 0.000 1
```

Which one sits at the top of the stability order? *B* does.

*A*
VASP calculation (PBE) on a relaxed structure of AsHPtSe2.

The structure in CIF format:
```
data_AsHPtSe2
_space_group_name_H-M_alt 'P 1'
_space_group_IT_number 1
_space_group_name_Hall 'P 1'
_cell_length_a 5.159
_cell_length_b 5.159
_cell_length_c 4.764
_cell_angle_alpha 90.00
_cell_angle_beta 90.00
_cell_angle_gamma 90.00
loop_
_atom_site_label
_atom_site_fract_x
_atom_site_fract_y
_atom_site_fract_z
_atom_site_occupancy
H1 0.500 0.500 0.500 1
Se1 0.500 0.000 0.000 1
Se2 0.000 0.500 0.000 1
Pt1 0.000 0.000 0.000 1
As1 0.000 0.000 0.500 1
```

*B*
VASP calculation (PBE) on a relaxed structure of AsHPtSe2.

The structure in CIF format:
```
data_AsHPtSe2
_space_group_name_H-M_alt 'P 1'
_space_group_IT_number 1
_space_group_name_Hall 'P 1'
_cell_length_a 4.728
_cell_length_b 4.728
_cell_length_c 3.508
_cell_angle_alpha 90.00
_cell_angle_beta 90.00
_cell_angle_gamma 90.00
loop_
_atom_site_label
_atom_site_fract_x
_atom_site_fract_y
_atom_site_fract_z
_atom_site_occupancy
Se1 0.000 0.500 0.000 1
Se2 0.500 0.000 0.000 1
H1 0.000 0.000 0.000 1
As1 0.000 0.000 0.500 1
Pt1 0.500 0.500 0.500 1
```

Which one sits at the top of the stability order? *B* does.

*A*
VASP calculation (PBE) on a relaxed structure of As2HPtSe.

The structure in CIF format:
```
data_As2HPtSe
_space_group_name_H-M_alt 'P 1'
_space_group_IT_number 1
_space_group_name_Hall 'P 1'
_cell_length_a 3.959
_cell_length_b 3.959
_cell_length_c 4.954
_cell_angle_alpha 90.00
_cell_angle_beta 90.00
_cell_angle_gamma 90.00
loop_
_atom_site_label
_atom_site_fract_x
_atom_site_fract_y
_atom_site_fract_z
_atom_site_occupancy
As1 0.500 0.000 0.000 1
As2 0.000 0.500 0.000 1
H1 0.000 0.000 0.000 1
Pt1 0.500 0.500 0.500 1
Se1 0.000 0.000 0.500 1
```

*B*
VASP calculation (PBE) on a relaxed structure of As2HPtSe.

The structure in CIF format:
```
data_As2HPtSe
_space_group_name_H-M_alt 'P 1'
_space_group_IT_number 1
_space_group_name_Hall 'P 1'
_cell_length_a 4.857
_cell_length_b 4.857
_cell_length_c 5.298
_cell_angle_alpha 90.00
_cell_angle_beta 90.00
_cell_angle_gamma 90.00
loop_
_atom_site_label
_atom_site_fract_x
_atom_site_fract_y
_atom_site_fract_z
_atom_site_occupancy
Se1 0.000 0.000 0.500 1
As1 0.000 0.500 0.000 1
As2 0.500 0.000 0.000 1
H1 0.500 0.500 0.500 1
Pt1 0.000 0.000 0.000 1
```

Which one sits at the top of the stability order? *A* does.

*A*
VASP calculation (PBE) on a relaxed structure of RbAsH.

The structure in CIF format:
```
data_RbAsH
_space_group_name_H-M_alt 'P 1'
_space_group_IT_number 1
_space_group_name_Hall 'P 1'
_cell_length_a 6.115
_cell_length_b 4.245
_cell_length_c 6.148
_cell_angle_alpha 90.00
_cell_angle_beta 107.13
_cell_angle_gamma 90.00
loop_
_atom_site_label
_atom_site_fract_x
_atom_site_fract_y
_atom_site_fract_z
_atom_site_occupancy
H1 0.837 0.133 0.764 1
H2 0.163 0.133 0.236 1
Rb1 0.717 0.302 0.276 1
Rb2 0.283 0.302 0.724 1
As1 0.179 0.780 0.168 1
As2 0.821 0.780 0.832 1
```

*B*
VASP calculation (PBE) on a relaxed structure of RbAsH.

The structure in CIF format:
```
data_RbAsH
_space_group_name_H-M_alt 'P 1'
_space_group_IT_number 1
_space_group_name_Hall 'P 1'
_cell_length_a 5.364
_cell_length_b 6.503
_cell_length_c 6.616
_cell_angle_alpha 71.54
_cell_angle_beta 68.21
_cell_angle_gamma 65.75
loop_
_atom_site_label
_atom_site_fract_x
_atom_site_fract_y
_atom_site_fract_z
_atom_site_occupancy
As1 0.331 0.820 0.889 1
As2 0.346 0.136 0.566 1
Rb1 0.047 0.737 0.527 1
Rb2 0.605 0.201 0.978 1
H1 0.202 0.960 0.080 1
H2 0.040 0.213 0.537 1
```

Which one sits at the top of the stability order? *B* does.

*A*
VASP calculation (PBE) on a relaxed structure of RbAsH.

The structure in CIF format:
```
data_RbAsH
_space_group_name_H-M_alt 'P 1'
_space_group_IT_number 1
_space_group_name_Hall 'P 1'
_cell_length_a 5.144
_cell_length_b 8.375
_cell_length_c 9.140
_cell_angle_alpha 90.00
_cell_angle_beta 90.00
_cell_angle_gamma 90.00
loop_
_atom_site_label
_atom_site_fract_x
_atom_site_fract_y
_atom_site_fract_z
_atom_site_occupancy
H1 0.250 0.343 0.096 1
H2 0.250 0.843 0.404 1
H3 0.750 0.157 0.596 1
H4 0.750 0.657 0.904 1
As1 0.250 0.522 0.050 1
As2 0.750 0.478 0.950 1
As3 0.250 0.022 0.450 1
As4 0.750 0.978 0.550 1
Rb1 0.250 0.204 0.794 1
Rb2 0.250 0.704 0.706 1
Rb3 0.750 0.296 0.294 1
Rb4 0.750 0.796 0.206 1
```

*B*
VASP calculation (PBE) on a relaxed structure of RbAsH.

The structure in CIF format:
```
data_RbAsH
_space_group_name_H-M_alt 'P 1'
_space_group_IT_number 1
_space_group_name_Hall 'P 1'
_cell_length_a 9.071
_cell_length_b 5.650
_cell_length_c 8.395
_cell_angle_alpha 90.00
_cell_angle_beta 90.00
_cell_angle_gamma 120.01
loop_
_atom_site_label
_atom_site_fract_x
_atom_site_fract_y
_atom_site_fract_z
_atom_site_occupancy
As1 0.840 0.384 0.005 1
As2 0.160 0.616 0.995 1
As3 0.660 0.616 0.505 1
As4 0.340 0.384 0.495 1
H1 0.345 0.382 0.309 1
H2 0.155 0.618 0.809 1
H3 0.845 0.382 0.191 1
H4 0.655 0.618 0.691 1
Rb1 0.994 0.997 0.229 1
Rb2 0.494 0.997 0.271 1
Rb3 0.506 0.003 0.729 1
Rb4 0.006 0.003 0.771 1
```

*C*
VASP calculation (PBE) on a relaxed structure of RbAsH.

The structure in CIF format:
```
data_RbAsH
_space_group_name_H-M_alt 'P 1'
_space_group_IT_number 1
_space_group_name_Hall 'P 1'
_cell_length_a 4.838
_cell_length_b 5.466
_cell_length_c 6.656
_cell_angle_alpha 65.89
_cell_angle_beta 88.29
_cell_angle_gamma 89.97
loop_
_atom_site_label
_atom_site_fract_x
_atom_site_fract_y
_atom_site_fract_z
_atom_site_occupancy
H1 0.951 0.162 0.671 1
H2 0.049 0.838 0.329 1
As1 0.182 0.076 0.846 1
As2 0.818 0.924 0.154 1
Rb1 0.279 0.373 0.256 1
Rb2 0.721 0.627 0.744 1
```

*D*
VASP calculation (PBE) on a relaxed structure of RbAsH.

The structure in CIF format:
```
data_RbAsH
_space_group_name_H-M_alt 'P 1'
_space_group_IT_number 1
_space_group_name_Hall 'P 1'
_cell_length_a 3.300
_cell_length_b 5.066
_cell_length_c 4.257
_cell_angle_alpha 90.00
_cell_angle_beta 90.00
_cell_angle_gamma 90.00
loop_
_atom_site_label
_atom_site_fract_x
_atom_site_fract_y
_atom_site_fract_z
_atom_site_occupancy
As1 0.000 0.500 0.372 1
H1 0.000 0.500 0.739 1
Rb1 0.500 0.000 0.887 1
```

Which one sits at the top of the stability order? *C* does.

*A*
VASP calculation (PBE) on a relaxed structure of Rb8As2H.

The structure in CIF format:
```
data_Rb8As2H
_space_group_name_H-M_alt 'P 1'
_space_group_IT_number 1
_space_group_name_Hall 'P 1'
_cell_length_a 5.367
_cell_length_b 9.742
_cell_length_c 10.808
_cell_angle_alpha 92.09
_cell_angle_beta 104.38
_cell_angle_gamma 90.00
loop_
_atom_site_label
_atom_site_fract_x
_atom_site_fract_y
_atom_site_fract_z
_atom_site_occupancy
As1 0.811 0.263 0.623 1
As2 0.189 0.737 0.377 1
Rb1 0.972 0.181 0.944 1
Rb2 0.789 0.655 0.578 1
Rb3 0.211 0.345 0.422 1
Rb4 0.387 0.435 0.774 1
Rb5 0.028 0.819 0.056 1
Rb6 0.672 0.985 0.345 1
Rb7 0.328 0.015 0.655 1
Rb8 0.613 0.565 0.226 1
H1 0.500 0.000 0.000 1
```

*B*
VASP calculation (PBE) on a relaxed structure of Rb8As2H.

The structure in CIF format:
```
data_Rb8As2H
_space_group_name_H-M_alt 'P 1'
_space_group_IT_number 1
_space_group_name_Hall 'P 1'
_cell_length_a 6.106
_cell_length_b 9.925
_cell_length_c 10.529
_cell_angle_alpha 98.84
_cell_angle_beta 90.00
_cell_angle_gamma 107.92
loop_
_atom_site_label
_atom_site_fract_x
_atom_site_fract_y
_atom_site_fract_z
_atom_site_occupancy
Rb1 0.430 0.860 0.269 1
Rb2 0.204 0.408 0.564 1
Rb3 0.796 0.592 0.436 1
Rb4 0.288 0.576 0.921 1
Rb5 0.570 0.140 0.731 1
Rb6 0.712 0.424 0.079 1
Rb7 0.922 0.844 0.836 1
Rb8 0.078 0.156 0.164 1
As1 0.253 0.506 0.249 1
As2 0.747 0.494 0.751 1
H1 0.500 0.000 0.000 1
```

Which one sits at the top of the stability order? *A* does.

*A*
VASP calculation (PBE) on a relaxed structure of Rb2AsH4.

The structure in CIF format:
```
data_Rb2AsH4
_space_group_name_H-M_alt 'P 1'
_space_group_IT_number 1
_space_group_name_Hall 'P 1'
_cell_length_a 5.732
_cell_length_b 5.732
_cell_length_c 5.921
_cell_angle_alpha 118.95
_cell_angle_beta 118.95
_cell_angle_gamma 90.00
loop_
_atom_site_label
_atom_site_fract_x
_atom_site_fract_y
_atom_site_fract_z
_atom_site_occupancy
H1 0.713 0.713 0.000 1
H2 0.713 0.287 0.000 1
H3 0.287 0.713 0.000 1
H4 0.287 0.287 0.000 1
Rb1 0.250 0.750 0.500 1
Rb2 0.750 0.250 0.500 1
As1 0.500 0.500 0.000 1
```

*B*
VASP calculation (PBE) on a relaxed structure of Rb2AsH4.

The structure in CIF format:
```
data_Rb2AsH4
_space_group_name_H-M_alt 'P 1'
_space_group_IT_number 1
_space_group_name_Hall 'P 1'
_cell_length_a 4.079
_cell_length_b 4.079
_cell_length_c 8.457
_cell_angle_alpha 76.05
_cell_angle_beta 76.05
_cell_angle_gamma 90.00
loop_
_atom_site_label
_atom_site_fract_x
_atom_site_fract_y
_atom_site_fract_z
_atom_site_occupancy
H1 0.121 0.121 0.757 1
H2 0.500 0.000 0.000 1
H3 0.879 0.879 0.243 1
H4 0.000 0.500 0.000 1
Rb1 0.635 0.635 0.730 1
Rb2 0.365 0.365 0.270 1
As1 0.000 0.000 0.000 1
```

Which one sits at the top of the stability order? *A* does.

*A*
VASP calculation (PBE) on a relaxed structure of RbAs2H.

The structure in CIF format:
```
data_RbAs2H
_space_group_name_H-M_alt 'P 1'
_space_group_IT_number 1
_space_group_name_Hall 'P 1'
_cell_length_a 6.290
_cell_length_b 6.290
_cell_length_c 6.344
_cell_angle_alpha 60.28
_cell_angle_beta 60.28
_cell_angle_gamma 90.00
loop_
_atom_site_label
_atom_site_fract_x
_atom_site_fract_y
_atom_site_fract_z
_atom_site_occupancy
As1 0.875 0.625 0.750 1
As2 0.375 0.625 0.750 1
As3 0.375 0.125 0.250 1
As4 0.375 0.625 0.250 1
Rb1 0.750 0.250 0.500 1
Rb2 0.000 0.000 0.000 1
H1 0.250 0.750 0.500 1
H2 0.500 0.500 0.000 1
```

*B*
VASP calculation (PBE) on a relaxed structure of RbAs2H.

The structure in CIF format:
```
data_RbAs2H
_space_group_name_H-M_alt 'P 1'
_space_group_IT_number 1
_space_group_name_Hall 'P 1'
_cell_length_a 5.083
_cell_length_b 5.083
_cell_length_c 5.083
_cell_angle_alpha 60.00
_cell_angle_beta 60.00
_cell_angle_gamma 60.00
loop_
_atom_site_label
_atom_site_fract_x
_atom_site_fract_y
_atom_site_fract_z
_atom_site_occupancy
Rb1 0.500 0.500 0.500 1
H1 0.000 0.000 0.000 1
As1 0.250 0.250 0.250 1
As2 0.750 0.750 0.750 1
```

Which one sits at the top of the stability order? *A* does.